# 1
DFT (PBE) results for La2SiRu2 after structural relaxation.

Cell: 5.9487 5.9487 7.5757 Å, 77.04 77.04 56.45°
Atoms (fractional coordinates):
La (0.4940, 0.2138, 0.1422)
Ru (0.9881, 0.2657, 0.9796)
Ru (0.0119, 0.7343, 0.0204)
La (0.2138, 0.4940, 0.6422)
Ru (0.2657, 0.9881, 0.4796)
La (0.7862, 0.5060, 0.3578)
La (0.5060, 0.7862, 0.8578)
Ru (0.7343, 0.0119, 0.5204)
Si (0.0873, 0.9127, 0.2500)
Si (0.9127, 0.0873, 0.7500)

Calculated total energy in eV per atom: -7.28
SG: No. 15
Energy above the lowest structure with this stoichiometry in eV per atom: 0.0000
N(E_F) in states/eV/atom: 0.74

# 2
DFT (PBE) results for LaSi2Ru2 after structural relaxation.

Cell: 7.5398 7.5398 2.9228 Å, 90.00 90.00 90.00°
Atoms (fractional coordinates):
Ru (0.6430, 0.8570, 0.5000)
Si (0.6291, 0.1291, 0.0000)
Ru (0.8570, 0.3570, 0.5000)
Ru (0.3570, 0.1430, 0.5000)
La (0.0000, 0.0000, 0.0000)
La (0.5000, 0.5000, 0.0000)
Ru (0.1430, 0.6430, 0.5000)
Si (0.3709, 0.8709, 0.0000)
Si (0.8709, 0.6291, 0.0000)
Si (0.1291, 0.3709, 0.0000)

Calculated total energy in eV per atom: -7.22
SG: No. 127
N(E_F) in states/eV/atom: 0.69

# 3
DFT (PBE) results for LaSi3Ru5 after structural relaxation.

Cell: 4.0614 6.7178 11.5374 Å, 90.00 90.00 107.59°
Atoms (fractional coordinates):
Si (0.6259, 0.2519, 0.4581)
Ru (0.1936, 0.3871, 0.5635)
Ru (0.0000, 0.0000, 0.0000)
Ru (0.4579, 0.9159, 0.3565)
Ru (0.5421, 0.0841, 0.6435)
Si (0.8876, 0.7752, 0.2500)
Si (0.1124, 0.2248, 0.7500)
Si (0.3741, 0.7481, 0.5419)
Ru (0.8064, 0.6129, 0.4365)
Si (0.3741, 0.7481, 0.9581)
Ru (0.1936, 0.3871, 0.9365)
Ru (0.5421, 0.0841, 0.8565)
Ru (0.8064, 0.6129, 0.0635)
La (0.1808, 0.3616, 0.2500)
La (0.8192, 0.6384, 0.7500)
Ru (0.0000, 0.0000, 0.5000)
Ru (0.4579, 0.9159, 0.1435)
Si (0.6259, 0.2519, 0.0419)

Calculated total energy in eV per atom: -7.99
SG: No. 63
N(E_F) in states/eV/atom: 0.95